Here is crystalline U6PSe3S2 at its relaxed geometry from the Alexandria database. Energies are from PBE.

```
data_U6PSe3S2
_chemical_formula_sum 'U12 P2 Se6 S4'
_cell_length_a 6.667
_cell_length_b 11.538
_cell_length_c 7.257
_cell_angle_alpha 90.00
_cell_angle_beta 107.81
_cell_angle_gamma 90.00
_symmetry_space_group_name_H-M 'C 1 2/m 1'
_symmetry_Int_Tables_number 12
_symmetry_space_group_name_Hall '-C 2y'
loop_
_atom_site_label
_atom_site_fract_x
_atom_site_fract_y
_atom_site_fract_z
U1 0.243 0.000 0.234
U2 0.245 0.333 0.234
P1 0.000 0.500 0.000
Se1 0.000 0.000 0.500
Se2 0.000 0.334 0.500
S1 0.000 0.167 0.000
```

N(E_F) ... 2.003 states/eV per atom
Volume ... 531.4 Å³/cell
Uncorrected energy ... -8.787 eV per atom
Total moment ... 14.4 μB/f.u.
Energy relative to the elements, uncorrected ... -1133 meV per atom